[1]
First-principles (GGA-PBEsol) data for a geometry-optimized BeSi2Hg structure, as listed in the Alexandria database.

## Properties
The space group is R-3m (166). For the polymorph energy (0 for the lowest one), the calculation gives 82.0 meV/atom. For the density of states at the Fermi level, the calculation gives 2.98 states/eV per cell. For the uncorrected formation energy, the calculation gives 0.444 eV/atom.

a b c (Å): 2.7600 2.7600 29.4482
angles (deg): 90.00 90.00 120.00
Fractional positions:
Be1 0.0000 0.0000 0.0000
Be2 0.3333 0.6667 0.6667
Be3 0.6667 0.3333 0.3333
Si1 0.0000 0.0000 0.2703
Si2 0.0000 0.0000 0.7297
Si3 0.3333 0.6667 0.3964
Si4 0.3333 0.6667 0.9369
Si5 0.6667 0.3333 0.0631
Si6 0.6667 0.3333 0.6036
Hg1 0.0000 0.0000 0.5000
Hg2 0.3333 0.6667 0.1667
Hg3 0.6667 0.3333 0.8333



[2]
First-principles (GGA-PBEsol) data for a geometry-optimized Si2TcAu structure, as listed in the Alexandria database.

## Properties
The space group is I-42d (122). For the density of states at the Fermi level, the calculation gives 10.36 states/eV per cell. For the uncorrected formation energy, the calculation gives 0.474 eV/atom.

a b c (Å): 5.6386 5.6386 10.1015
angles (deg): 90.00 90.00 90.00
Fractional positions:
Si1 0.2339 0.2500 0.1250
Si2 0.2500 0.7339 0.3750
Si3 0.2500 0.7661 0.8750
Si4 0.2661 0.2500 0.6250
Si5 0.7339 0.7500 0.6250
Si6 0.7500 0.2339 0.8750
Si7 0.7500 0.2661 0.3750
Si8 0.7661 0.7500 0.1250
Tc1 0.0000 0.0000 0.0000
Tc2 0.0000 0.5000 0.2500
Tc3 0.5000 0.0000 0.7500
Tc4 0.5000 0.5000 0.5000
Au1 0.0000 0.0000 0.5000
Au2 0.0000 0.5000 0.7500
Au3 0.5000 0.0000 0.2500
Au4 0.5000 0.5000 0.0000



[3]
First-principles (GGA-PBEsol) data for a geometry-optimized YZrSe2 structure, as listed in the Alexandria database.

## Properties
The space group is Cm (8). For the polymorph energy (0 for the lowest one), the calculation gives 80.1 meV/atom. For the density of states at the Fermi level, the calculation gives 6.01 states/eV per cell. For the uncorrected formation energy, the calculation gives -1.368 eV/atom.

a b c (Å): 10.3003 3.4480 4.6264
angles (deg): 90.00 91.09 90.00
Fractional positions:
Y1 0.0000 0.0000 0.0000
Y2 0.5000 0.5000 0.0000
Zr1 0.2483 0.0000 0.5110
Zr2 0.7483 0.5000 0.5110
Se1 0.0193 0.5000 0.5010
Se2 0.2298 0.5000 0.0099
Se3 0.5193 0.0000 0.5010
Se4 0.7298 0.0000 0.0099



[4]
First-principles (GGA-PBEsol) data for a geometry-optimized PbClF2 structure, as listed in the Alexandria database.

## Properties
The space group is Fm-3m (225). For the density of states at the Fermi level, the calculation gives 18.53 states/eV per cell. For the uncorrected formation energy, the calculation gives -1.279 eV/atom.

a b c (Å): 6.2842 6.2842 6.2842
angles (deg): 90.00 90.00 90.00
Fractional positions:
Pb1 0.0000 0.0000 0.0000
Pb2 0.0000 0.5000 0.5000
Pb3 0.5000 0.0000 0.5000
Pb4 0.5000 0.5000 0.0000
Cl1 0.0000 0.0000 0.5000
Cl2 0.0000 0.5000 0.0000
Cl3 0.5000 0.0000 0.0000
Cl4 0.5000 0.5000 0.5000
F1 0.2500 0.2500 0.2500
F2 0.2500 0.2500 0.7500
F3 0.2500 0.7500 0.2500
F4 0.2500 0.7500 0.7500
F5 0.7500 0.2500 0.2500
F6 0.7500 0.2500 0.7500
F7 0.7500 0.7500 0.2500
F8 0.7500 0.7500 0.7500



[5]
First-principles (GGA-PBEsol) data for a geometry-optimized NdSmFe17N3 structure, as listed in the Alexandria database.

## Properties
The space group is R3m (160). For the density of states at the Fermi level, the calculation gives 17.61 states/eV per cell. For the uncorrected formation energy, the calculation gives -0.231 eV/atom.

a b c (Å): 6.4202 6.4202 6.4202
angles (deg): 83.55 83.55 83.55
Fractional positions:
Nd1 0.0000 0.0000 0.0000
Sm1 0.6894 0.6894 0.6894
Fe1 0.0041 0.0041 0.4868
Fe2 0.0041 0.4868 0.0041
Fe3 0.0628 0.3457 0.6273
Fe4 0.0628 0.6273 0.3457
Fe5 0.2051 0.6859 0.6859
Fe6 0.2511 0.2511 0.2511
Fe7 0.3450 0.3450 0.8453
Fe8 0.3450 0.8453 0.3450
Fe9 0.3457 0.0628 0.6273
Fe10 0.3457 0.6273 0.0628
Fe11 0.4399 0.4399 0.4399
Fe12 0.4868 0.0041 0.0041
Fe13 0.6273 0.0628 0.3457
Fe14 0.6273 0.3457 0.0628
Fe15 0.6859 0.2051 0.6859
Fe16 0.6859 0.6859 0.2051
Fe17 0.8453 0.3450 0.3450
N1 0.3487 0.8438 0.8438
N2 0.8438 0.3487 0.8438
N3 0.8438 0.8438 0.3487



[6]
First-principles (GGA-PBEsol) data for a geometry-optimized Os3PdC structure, as listed in the Alexandria database.

## Properties
For the total energy, the calculation gives -9.87 eV per atom. The space group is Pm-3m (221). For the density of states at the Fermi level, the calculation gives 3.60 states/eV per cell.

a b c (Å): 4.0165 4.0165 4.0165
angles (deg): 90.00 90.00 90.00
Fractional positions:
Os1 0.0000 0.0000 0.5000
Os2 0.0000 0.5000 0.0000
Os3 0.5000 0.0000 0.0000
Pd1 0.5000 0.5000 0.5000
C1 0.0000 0.0000 0.0000



[7]
First-principles (GGA-PBEsol) data for a geometry-optimized TaGeRh structure, as listed in the Alexandria database.

## Properties
For the total energy, the calculation gives -9.14 eV per atom. The space group is Pnma (62). For the density of states at the Fermi level, the calculation gives 2.59 states/eV per cell.

a b c (Å): 6.3802 3.8231 7.3891
angles (deg): 90.00 90.00 90.00
Fractional positions:
Ta1 0.0284 0.2500 0.1794
Ta2 0.4716 0.7500 0.6794
Ta3 0.5284 0.2500 0.3206
Ta4 0.9716 0.7500 0.8206
Ge1 0.2415 0.7500 0.3762
Ge2 0.2585 0.2500 0.8762
Ge3 0.7415 0.7500 0.1238
Ge4 0.7585 0.2500 0.6238
Rh1 0.1435 0.2500 0.5622
Rh2 0.3565 0.7500 0.0622
Rh3 0.6435 0.2500 0.9378
Rh4 0.8565 0.7500 0.4378



[8]
First-principles (GGA-PBEsol) data for a geometry-optimized ScFeMo2 structure, as listed in the Alexandria database.

## Properties
The space group is F-43m (216). For the polymorph energy (0 for the lowest one), the calculation gives 0.0 meV/atom. For the density of states at the Fermi level, the calculation gives 14.39 states/eV per cell.

a b c (Å): 6.1651 6.1651 6.1651
angles (deg): 90.00 90.00 90.00
Fractional positions:
Sc1 0.0000 0.0000 0.0000
Sc2 0.0000 0.5000 0.5000
Sc3 0.5000 0.0000 0.5000
Sc4 0.5000 0.5000 0.0000
Fe1 0.2500 0.2500 0.2500
Fe2 0.2500 0.7500 0.7500
Fe3 0.7500 0.2500 0.7500
Fe4 0.7500 0.7500 0.2500
Mo1 0.0000 0.0000 0.5000
Mo2 0.0000 0.5000 0.0000
Mo3 0.2500 0.2500 0.7500
Mo4 0.2500 0.7500 0.2500
Mo5 0.5000 0.0000 0.0000
Mo6 0.5000 0.5000 0.5000
Mo7 0.7500 0.2500 0.2500
Mo8 0.7500 0.7500 0.7500



[9]
First-principles (GGA-PBEsol) data for a geometry-optimized Ti3NbCo2P6O24 structure, as listed in the Alexandria database.

## Properties
The space group is R3 (146). For the density of states at the Fermi level, the calculation gives 10.55 states/eV per cell. For the uncorrected formation energy, the calculation gives -2.269 eV/atom.

a b c (Å): 8.4082 8.4082 8.4082
angles (deg): 62.25 62.25 62.25
Fractional positions:
Ti1 0.0000 0.0000 0.0000
Ti2 0.2245 0.2245 0.2245
Ti3 0.7236 0.7236 0.7236
Nb1 0.4980 0.4980 0.4980
Co1 0.3648 0.3648 0.3648
Co2 0.8640 0.8640 0.8640
P1 0.1031 0.8313 0.4033
P2 0.3214 0.6116 0.9076
P3 0.4033 0.1031 0.8313
P4 0.6116 0.9076 0.3214
P5 0.8313 0.4033 0.1031
P6 0.9076 0.3214 0.6116
O1 0.0339 0.8730 0.2455
O2 0.1021 0.3097 0.4540
O3 0.1256 0.7681 0.9201
O4 0.1802 0.9838 0.3611
O5 0.2455 0.0339 0.8730
O6 0.2602 0.6325 0.4170
O7 0.3097 0.4540 0.1021
O8 0.3611 0.1802 0.9838
O9 0.3624 0.5404 0.7489
O10 0.4170 0.2602 0.6325
O11 0.4540 0.1021 0.3097
O12 0.4823 0.6806 0.8590
O13 0.5404 0.7489 0.3624
O14 0.6002 0.9490 0.8147
O15 0.6325 0.4170 0.2602
O16 0.6806 0.8590 0.4823
O17 0.7489 0.3624 0.5404
O18 0.7681 0.9201 0.1256
O19 0.8147 0.6002 0.9490
O20 0.8590 0.4823 0.6806
O21 0.8730 0.2455 0.0339
O22 0.9201 0.1256 0.7681
O23 0.9490 0.8147 0.6002
O24 0.9838 0.3611 0.1802



[10]
First-principles (GGA-PBEsol) data for a geometry-optimized ZrSc2Al structure, as listed in the Alexandria database.

## Properties
For the total energy, the calculation gives -6.80 eV per atom. The space group is Imm2 (44). For the density of states at the Fermi level, the calculation gives 7.44 states/eV per cell.

a b c (Å): 3.3911 4.8415 10.2359
angles (deg): 90.00 90.00 90.00
Fractional positions:
Zr1 0.0000 0.0000 0.0000
Zr2 0.5000 0.5000 0.5000
Sc1 0.0000 0.0000 0.4466
Sc2 0.0000 0.5000 0.2240
Sc3 0.5000 0.0000 0.7240
Sc4 0.5000 0.5000 0.9466
Al1 0.0000 0.5000 0.7251
Al2 0.5000 0.0000 0.2251



[11]
First-principles (GGA-PBEsol) data for a geometry-optimized MgBe5 structure, as listed in the Alexandria database.

## Properties
The space group is P6/mmm (191). For the polymorph energy (0 for the lowest one), the calculation gives 0.0 meV/atom. For the density of states at the Fermi level, the calculation gives 1.78 states/eV per cell.

a b c (Å): 4.4120 4.4120 3.5530
angles (deg): 90.00 90.00 120.00
Fractional positions:
Mg1 0.0000 0.0000 0.0000
Be1 0.0000 0.5000 0.5000
Be2 0.3333 0.6667 0.0000
Be3 0.5000 0.0000 0.5000
Be4 0.5000 0.5000 0.5000
Be5 0.6667 0.3333 0.0000



[12]
First-principles (GGA-PBEsol) data for a geometry-optimized Ni2HgS2 structure, as listed in the Alexandria database.

## Properties
The space group is I4/mmm (139). For the density of states at the Fermi level, the calculation gives 8.69 states/eV per cell. For the uncorrected formation energy, the calculation gives -0.225 eV/atom.

a b c (Å): 3.6340 3.6340 13.6134
angles (deg): 90.00 90.00 90.00
Fractional positions:
Ni1 0.0000 0.5000 0.2500
Ni2 0.0000 0.5000 0.7500
Ni3 0.5000 0.0000 0.2500
Ni4 0.5000 0.0000 0.7500
Hg1 0.0000 0.0000 0.0000
Hg2 0.5000 0.5000 0.5000
S1 0.0000 0.0000 0.3405
S2 0.0000 0.0000 0.6595
S3 0.5000 0.5000 0.1595
S4 0.5000 0.5000 0.8405



[13]
First-principles (GGA-PBEsol) data for a geometry-optimized BaMo2AuN structure, as listed in the Alexandria database.

## Properties
The space group is P4/mmm (123). For the density of states at the Fermi level, the calculation gives 4.79 states/eV per cell. For the uncorrected formation energy, the calculation gives 0.262 eV/atom.

a b c (Å): 4.1274 4.1274 5.4038
angles (deg): 90.00 90.00 90.00
Fractional positions:
Ba1 0.0000 0.0000 0.0000
Mo1 0.0000 0.5000 0.5000
Mo2 0.5000 0.0000 0.5000
Au1 0.5000 0.5000 0.0000
N1 0.0000 0.0000 0.5000



[14]
First-principles (GGA-PBEsol) data for a geometry-optimized AsCl structure, as listed in the Alexandria database.

## Properties
The space group is C2/m (12). For the uncorrected formation energy, the calculation gives -0.349 eV/atom.

a b c (Å): 10.3660 3.6197 5.6636
angles (deg): 90.00 101.43 90.00
Fractional positions:
As1 0.2054 0.0000 0.3522
As2 0.2946 0.5000 0.6478
As3 0.7054 0.5000 0.3522
As4 0.7946 0.0000 0.6478
Cl1 0.1132 0.5000 0.8027
Cl2 0.3868 0.0000 0.1973
Cl3 0.6132 0.0000 0.8027
Cl4 0.8868 0.5000 0.1973



[15]
First-principles (GGA-PBEsol) data for a geometry-optimized Sc2PS structure, as listed in the Alexandria database.

## Properties
The space group is I-42d (122). For the density of states at the Fermi level, the calculation gives 10.28 states/eV per cell. For the uncorrected formation energy, the calculation gives -1.265 eV/atom.

a b c (Å): 5.7554 5.7554 11.5894
angles (deg): 90.00 90.00 90.00
Fractional positions:
Sc1 0.2497 0.2500 0.1250
Sc2 0.2503 0.2500 0.6250
Sc3 0.2500 0.7497 0.3750
Sc4 0.2500 0.7503 0.8750
Sc5 0.7500 0.2503 0.3750
Sc6 0.7500 0.2497 0.8750
Sc7 0.7503 0.7500 0.1250
Sc8 0.7497 0.7500 0.6250
P1 0.0000 0.0000 0.0000
P2 0.0000 0.5000 0.2500
P3 0.5000 0.0000 0.7500
P4 0.5000 0.5000 0.5000
S1 0.0000 0.0000 0.5000
S2 0.0000 0.5000 0.7500
S3 0.5000 0.0000 0.2500
S4 0.5000 0.5000 0.0000



[16]
First-principles (GGA-PBEsol) data for a geometry-optimized HfNi5 structure, as listed in the Alexandria database.

## Properties
For the total energy, the calculation gives -7.24 eV per atom. The space group is F-43m (216). For the density of states at the Fermi level, the calculation gives 7.47 states/eV per cell.

a b c (Å): 4.6484 4.6484 4.6484
angles (deg): 60.00 60.00 60.00
Fractional positions:
Hf1 0.0000 0.0000 0.0000
Ni1 0.3760 0.3760 0.3760
Ni2 0.3760 0.3760 0.8721
Ni3 0.3760 0.8721 0.3760
Ni4 0.7500 0.7500 0.7500
Ni5 0.8721 0.3760 0.3760



[17]
First-principles (GGA-PBEsol) data for a geometry-optimized KTa2Ni structure, as listed in the Alexandria database.

## Properties
The space group is P2/m (10). For the polymorph energy (0 for the lowest one), the calculation gives 213.4 meV/atom. For the density of states at the Fermi level, the calculation gives 5.77 states/eV per cell.

a b c (Å): 2.7772 3.6806 8.5977
angles (deg): 90.00 95.22 90.00
Fractional positions:
K1 0.0000 0.0000 0.0000
Ta1 0.4608 0.5000 0.6469
Ta2 0.5392 0.5000 0.3531
Ni1 0.0000 0.0000 0.5000



[18]
First-principles (GGA-PBEsol) data for a geometry-optimized Li6ZrBeF12 structure, as listed in the Alexandria database.

## Properties
The space group is I4_1/amd (141). For the density of states at the Fermi level, the calculation gives 0.00 states/eV per cell. For the uncorrected formation energy, the calculation gives -3.236 eV/atom.

a b c (Å): 10.2933 10.2933 10.2933
angles (deg): 142.88 142.88 53.50
Fractional positions:
Li1 0.0000 0.2338 0.2338
Li2 0.0000 0.7662 0.7662
Li3 0.1029 0.3529 0.7500
Li4 0.2338 0.0000 0.7338
Li5 0.2338 0.5000 0.2338
Li6 0.3529 0.1029 0.2500
Li7 0.5000 0.2338 0.7338
Li8 0.5000 0.7662 0.2662
Li9 0.6471 0.8971 0.7500
Li10 0.7662 0.0000 0.2662
Li11 0.7662 0.5000 0.7662
Li12 0.8971 0.6471 0.2500
Zr1 0.3750 0.6250 0.7500
Zr2 0.6250 0.3750 0.2500
Be1 0.1250 0.8750 0.2500
Be2 0.8750 0.1250 0.7500
F1 0.0176 0.0741 0.9435
F2 0.0414 0.5773 0.4641
F3 0.0741 0.0176 0.4435
F4 0.0741 0.6307 0.0565
F5 0.2304 0.7096 0.5208
F6 0.2904 0.3111 0.5208
F7 0.2904 0.7696 0.9792
F8 0.3111 0.2904 0.0208
F9 0.3693 0.9259 0.4435
F10 0.3868 0.4227 0.9641
F11 0.4227 0.3868 0.4641
F12 0.4227 0.9586 0.0359
F13 0.5773 0.0414 0.9641
F14 0.5773 0.6132 0.5359
F15 0.6132 0.5773 0.0359
F16 0.6307 0.0741 0.5565
F17 0.6889 0.7096 0.9792
F18 0.7096 0.2304 0.0208
F19 0.7096 0.6889 0.4792
F20 0.7696 0.2904 0.4792
F21 0.9259 0.3693 0.9435
F22 0.9259 0.9824 0.5565
F23 0.9586 0.4227 0.5359
F24 0.9824 0.9259 0.0565



[19]
First-principles (GGA-PBEsol) data for a geometry-optimized Ag5Se structure, as listed in the Alexandria database.

## Properties
The space group is P-62m (189). For the density of states at the Fermi level, the calculation gives 0.63 states/eV per cell. For the uncorrected formation energy, the calculation gives 0.017 eV/atom.

a b c (Å): 5.0376 5.0376 4.6900
angles (deg): 90.00 90.00 120.00
Fractional positions:
Ag1 0.0000 0.3394 0.0000
Ag2 0.3333 0.6667 0.5000
Ag3 0.3394 0.0000 0.0000
Ag4 0.6606 0.6606 0.0000
Ag5 0.6667 0.3333 0.5000
Se1 0.0000 0.0000 0.5000



[20]
First-principles (GGA-PBEsol) data for a geometry-optimized NaMgH3 structure, as listed in the Alexandria database.

## Properties
For the total energy, the calculation gives -2.81 eV per atom. The space group is Pnma (62). For the density of states at the Fermi level, the calculation gives 0.00 states/eV per cell.

a b c (Å): 5.4117 7.6036 5.3317
angles (deg): 90.00 90.00 90.00
Fractional positions:
Na1 0.0310 0.2500 0.0056
Na2 0.4690 0.7500 0.5056
Na3 0.5310 0.2500 0.4944
Na4 0.9690 0.7500 0.9944
Mg1 0.0000 0.0000 0.5000
Mg2 0.0000 0.5000 0.5000
Mg3 0.5000 0.0000 0.0000
Mg4 0.5000 0.5000 0.0000
H1 0.0269 0.7500 0.4168
H2 0.2068 0.5436 0.7946
H3 0.2068 0.9564 0.7946
H4 0.2932 0.0436 0.2946
H5 0.2932 0.4564 0.2946
H6 0.4731 0.2500 0.9168
H7 0.5269 0.7500 0.0832
H8 0.7068 0.5436 0.7054
H9 0.7068 0.9564 0.7054
H10 0.7932 0.0436 0.2054
H11 0.7932 0.4564 0.2054
H12 0.9731 0.2500 0.5832